Ge2RuCl after structural relaxation. Source: the Alexandria database, functional PBE.

Summary:
N(E_F), states/eV/atom: 0.694
V, Å³ per cell: 205.9
E above lowest polymorph, eV/atom: 0.0000
Energy relative to the elements, uncorrected, meV per atom: 179

Cell lengths 7.162, 7.162, 7.162 Å; angles 130.80, 130.80, 72.13 degrees
Element x y z (fractional)
Ge: 0.053 0.625 0.928
Ge: 0.375 0.303 0.428
Ge: 0.697 0.125 0.072
Ge: 0.875 0.947 0.572
Ru: 0.000 0.000 0.000
Ru: 0.750 0.250 0.500
Cl: 0.250 0.750 0.500
Cl: 0.500 0.500 0.000



CePm2Al4Au3 after structural relaxation. Source: the Alexandria database, functional PBE.

Summary:
N(E_F), states/eV/atom: 1.053
V, Å³ per cell: 226.9
ΔE_f, eV per atom: -0.529

Cell lengths 4.367, 4.367, 11.896 Å; angles 90.00, 90.00, 90.00 degrees
Element x y z (fractional)
Ce: 0.000 0.000 0.000
Pm: 0.000 0.500 0.726
Pm: 0.500 0.000 0.274
Al: 0.000 0.000 0.500
Al: 0.000 0.500 0.173
Al: 0.500 0.000 0.827
Al: 0.500 0.500 0.500
Au: 0.000 0.500 0.382
Au: 0.500 0.000 0.618
Au: 0.500 0.500 0.000



Cs2ErCuCl6 after structural relaxation. Source: the Alexandria database, functional PBE.

Summary:
N(E_F), states/eV/atom: 0.000
V, Å³ per cell: 287.9
E above lowest polymorph, eV/atom: 0.0165
Energy relative to the elements, uncorrected, meV per atom: -1802

Cell lengths 7.411, 7.411, 7.411 Å; angles 60.00, 60.00, 60.00 degrees
Element x y z (fractional)
Cs: 0.250 0.250 0.250
Cs: 0.750 0.750 0.750
Er: 0.000 0.000 0.000
Cu: 0.500 0.500 0.500
Cl: 0.251 0.251 0.749
Cl: 0.251 0.749 0.251
Cl: 0.251 0.749 0.749
Cl: 0.749 0.251 0.251
Cl: 0.749 0.251 0.749
Cl: 0.749 0.749 0.251



BaYTlAg after structural relaxation. Source: the Alexandria database, functional PBE.

Summary:
N(E_F), states/eV/atom: 1.106
V, Å³ per cell: 124.6
ΔE_f, eV per atom: -0.191

Cell lengths 5.607, 5.607, 5.607 Å; angles 60.00, 60.00, 60.00 degrees
Element x y z (fractional)
Ba: 0.000 0.000 0.000
Y: 0.500 0.500 0.500
Tl: 0.250 0.250 0.250
Ag: 0.750 0.750 0.750



MgAg6Ge after structural relaxation. Source: the Alexandria database, functional PBE.

Summary:
N(E_F), states/eV/atom: 0.224
V, Å³ per cell: 149.1
E above lowest polymorph, eV/atom: 0.0435
ΔE_f, eV per atom: 0.030

Cell lengths 5.268, 5.339, 5.340 Å; angles 93.32, 94.23, 94.09 degrees
Element x y z (fractional)
Mg: 0.000 0.000 0.000
Ag: 0.052 0.454 0.752
Ag: 0.249 0.941 0.550
Ag: 0.456 0.751 0.056
Ag: 0.544 0.249 0.944
Ag: 0.751 0.059 0.450
Ag: 0.948 0.546 0.248
Ge: 0.500 0.500 0.500



Pm3AlTe6 after structural relaxation. Source: the Alexandria database, functional PBE.

Summary:
V, Å³ per cell: 690.1
Energy relative to the elements, uncorrected, meV per atom: -1181

Cell lengths 9.785, 9.785, 7.369 Å; angles 90.00, 90.00, 101.99 degrees
Element x y z (fractional)
Pm: 0.096 0.904 0.500
Pm: 0.223 0.416 0.613
Pm: 0.416 0.223 0.113
Pm: 0.584 0.777 0.613
Pm: 0.777 0.584 0.113
Pm: 0.904 0.096 0.000
Al: 0.296 0.704 0.149
Al: 0.704 0.296 0.649
Te: 0.064 0.597 0.327
Te: 0.126 0.201 0.305
Te: 0.201 0.126 0.805
Te: 0.279 0.721 0.792
Te: 0.403 0.936 0.327
Te: 0.459 0.541 0.291
Te: 0.541 0.459 0.791
Te: 0.597 0.064 0.827
Te: 0.721 0.279 0.292
Te: 0.799 0.874 0.305
Te: 0.874 0.799 0.805
Te: 0.936 0.403 0.827



Ρ for every record listed, in sequence, given in g/cm3: 4.55 8.26 4.09 7.18 8.29 5.91.